Density functional theory data (PBE-GGA) for a geometry-optimized NaLiAgAu structure.

Results
SG: No. 38
Polymorph energy (0 for the lowest one): 31 meV per atom
DFT total energy: -2.538 eV/atom
Energy of formation: -0.198 eV/atom
Crystal system: orthorhombic

Cell: 4.1011 2.8407 6.7748 Å, 102.10 90.00 90.00°
Sites, in units of the cell vectors:
Ag 0.0000 0.9625 0.9251
Li 0.5000 0.0873 0.1746
Na 0.5000 0.3189 0.6378
Au 0.0000 0.6711 0.3421